Material: K2BaCdI6
Method: DFT, GGA-PBE
State: relaxed

Cell and atoms, written as POSCAR:
```
K2BaCdI6
1.0
4.3217 2.4952 7.3809
-4.3217 2.4952 7.3809
0.0000 -4.9903 7.3809
K Ba Cd I
2 1 1 6
Direct
0.0000 0.0000 0.0000
0.4966 0.4966 0.4966
0.2070 0.2070 0.2070
0.7045 0.7045 0.7045
0.0469 0.4570 0.8253
0.3553 0.9152 0.5858
0.4570 0.8253 0.0469
0.5858 0.3553 0.9152
0.8253 0.0469 0.4570
0.9152 0.5858 0.3553
```

Values from the calculation:
As for the density of states at the Fermi level: 0.00 states/eV/cell. For the volume, the calculation gives 478 Å³/cell. The calculation puts the uncorrected formation energy at -1254 meV per atom.

---

Material: BaCdIN2
Method: DFT, GGA-PBE
State: relaxed

Cell and atoms, written as POSCAR:
```
BaCdIN2
1.0
4.7383 0.0000 0.0000
0.0000 4.7383 0.0000
0.0000 0.0000 5.8030
Ba Cd I N
1 1 1 2
Direct
0.0000 0.0000 0.0000
0.5000 0.5000 0.5000
0.5000 0.5000 0.0000
0.0000 0.5000 0.5000
0.5000 0.0000 0.5000
```

Values from the calculation:
As for the density of states at the Fermi level: 3.74 states/eV/cell. The calculation puts the energy above the most stable polymorph in this dataset at 0.00 eV/f.u. For the volume, the calculation gives 130 Å³/cell. The calculation puts the uncorrected formation energy at 780 meV per atom.

---

Material: BaCdIN2
Method: DFT, GGA-PBE
State: relaxed

Cell and atoms, written as POSCAR:
```
BaCdIN2
1.0
5.3545 0.0000 0.0000
0.0000 5.3545 0.0000
0.0000 0.0000 7.0314
Ba Cd I N
1 1 1 2
Direct
0.0000 0.0000 0.0000
0.5000 0.5000 0.5000
0.0000 0.0000 0.5000
0.0000 0.5000 0.0000
0.5000 0.0000 0.0000
```

Values from the calculation:
As for the density of states at the Fermi level: 3.28 states/eV/cell. The calculation puts the energy above the most stable polymorph in this dataset at 1.58 eV/f.u. For the volume, the calculation gives 202 Å³/cell. The calculation puts the uncorrected formation energy at 1095 meV per atom.

---

Material: BaCdIO2
Method: DFT, GGA-PBE
State: relaxed

Cell and atoms, written as POSCAR:
```
BaCdIO2
1.0
4.5706 0.0000 0.0000
0.0000 4.5706 0.0000
0.0000 0.0000 7.3580
Ba Cd I O
1 1 1 2
Direct
0.0000 0.0000 0.0000
0.5000 0.5000 0.5000
0.0000 0.0000 0.5000
0.0000 0.5000 0.0000
0.5000 0.0000 0.0000
```

Values from the calculation:
As for the density of states at the Fermi level: 2.24 states/eV/cell. The calculation puts the energy above the most stable polymorph in this dataset at 1.57 eV/f.u. For the volume, the calculation gives 154 Å³/cell. The calculation puts the uncorrected formation energy at -504 meV per atom.